Entry 1:
Material: CrRu4
Method: DFT, PBE
State: relaxed

## Properties
Its energy above the most stable polymorph in this dataset is 0 meV/atom. The value obtained for the energy relative to the elements is 0.109 eV/atom. The calculation puts the density of states at the Fermi level at 6.802 states/eV per cell. As for the density: 11.2 g cm⁻³.

a b c (Å): 4.642 4.642 4.642
angles (deg): 99.51 99.51 132.05
Last column: magnetic moment on the atom in μB.
Positions (direct):
Cr (0.000, 0.000, 0.000)  0.08
Ru (0.601, 0.202, 0.803)  -0.01
Ru (0.399, 0.798, 0.197)  -0.01
Ru (0.798, 0.601, 0.399)  -0.01
Ru (0.202, 0.399, 0.601)  -0.01


Entry 2:
Material: ZnMoW2
Method: DFT, PBE
State: relaxed

## Properties
The value obtained for the energy relative to the elements is 0.235 eV/atom. The calculation puts the density of states at the Fermi level at 1.856 states/eV per cell. As for the density: 14.0 g cm⁻³.

a b c (Å): 5.196 5.196 5.196
angles (deg): 143.80 129.93 63.34
Positions (direct):
Mo (0.240, 0.740, 0.500)
Zn (0.500, 0.500, 0.000)
W (0.000, 0.000, 0.000)
W (0.760, 0.260, 0.500)


Entry 3:
Material: CdTc2SbF
Method: DFT, PBE
State: relaxed

## Properties
The calculation puts the density of states at the Fermi level at 4.606 states/eV per cell. As for the density: 5.1 g cm⁻³. The calculation puts the formation energy without anion corrections at 6.26 eV/f.u.

a b c (Å): 5.084 5.607 5.084
angles (deg): 90.00 90.00 90.00
Last column: magnetic moment on the atom in μB.
Positions (direct):
Tc (0.500, 0.000, 0.000)  2.56
Tc (0.000, 0.000, 0.500)  2.37
Sb (0.000, 0.000, 0.000)  -0.08
Cd (0.000, 0.500, 0.000)  0.00
F (0.500, 0.500, 0.500)  0.14